(1)
The following is a DFT calculation (PBE) of Y2Al4AgIr after structural relaxation.

Unit cell a=6.9657 b=4.3009 c=10.3723 alpha=90.00 beta=90.00 gamma=90.00
With the nearest neighbours (Å) after each atom.
Space group Amm2 (No. 38)
Inequivalent atoms, fractional coordinates:
Y: 0.0000 0.0000 0.0000 (multiplicity 2)  3 Ir 2.91-3.13, 6 Al 3.07-3.25
Y: 0.5000 0.0000 0.1442 (multiplicity 2)  3 Ag 2.95-3.10, 6 Al 3.13-3.28
Al: 0.1894 0.0000 0.7133 (multiplicity 4)  2 Ir 2.62, 1 Al 2.64, 1 Ag 2.64
Al: 0.2974 0.0000 0.4297 (multiplicity 4)  1 Ir 2.58, 2 Ag 2.67, 1 Al 2.82
Ag: 0.5000 0.0000 0.8599 (multiplicity 2)  6 Al 2.64-2.67, 1 Y 2.95
Ir: 0.0000 0.0000 0.2808 (multiplicity 2)  6 Al 2.58-2.62

Magnetization in μB per formula unit: 0.0

***

(2)
The following is a DFT calculation (PBE) of KAl2Ag2 after structural relaxation.

Unit cell a=4.4129 b=4.4129 c=11.9388 alpha=90.00 beta=90.00 gamma=90.00
With the nearest neighbours (Å) after each atom.
Space group I4/mmm (No. 139)
Inequivalent atoms, fractional coordinates:
K: 0.0000 0.0000 0.0000 (multiplicity 2)  8 Ag 3.45, 8 Al 3.71
Al: 0.0000 0.5000 0.2500 (multiplicity 4)  4 Ag 2.68
Ag: 0.0000 0.0000 0.3769 (multiplicity 4)  4 Al 2.68, 1 Ag 2.94

***

(3)
The following is a DFT calculation (PBE) of La2Al7Ag after structural relaxation.

Unit cell a=4.3695 b=4.3695 c=11.0969 alpha=90.00 beta=90.00 gamma=90.00
With the nearest neighbours (Å) after each atom.
Space group P-4m2 (No. 115)
Inequivalent atoms, fractional coordinates:
La: 0.0000 0.5000 0.2473 (multiplicity 2)  14 Al 3.32-3.56, 2 Ag 3.56
Al: 0.0000 0.0000 0.0000 (multiplicity 1)  4 Al 2.66
Al: 0.0000 0.5000 0.6333 (multiplicity 2)  3 Al 2.55-2.64, 2 Ag 2.64
Al: 0.0000 0.5000 0.8629 (multiplicity 2)  5 Al 2.55-2.66
Al: 0.5000 0.5000 0.0000 (multiplicity 1)  4 Al 2.66
Al: 0.5000 0.5000 0.5000 (multiplicity 1)  4 Al 2.64
Ag: 0.0000 0.0000 0.5000 (multiplicity 1)  4 Al 2.64

Magnetization in μB per formula unit: 0.0

***

(4)
The following is a DFT calculation (PBE) of LaAlAg after structural relaxation.

Unit cell a=6.8637 b=6.8637 c=6.8637 alpha=90.00 beta=90.00 gamma=90.00
With the nearest neighbours (Å) after each atom.
Space group F-43m (No. 216)
Inequivalent atoms, fractional coordinates:
La: 0.0000 0.0000 0.0000 (multiplicity 4)  4 Ag 2.97
Al: 0.0000 0.0000 0.5000 (multiplicity 4)  4 Ag 2.97
Ag: 0.2500 0.2500 0.7500 (multiplicity 4)  4 La 2.97, 4 Al 2.97

Magnetization in μB per formula unit: 0.1

***

(5)
The following is a DFT calculation (PBE) of Li2LaYAl2Ag2 after structural relaxation.

Unit cell a=4.8580 b=4.8580 c=6.8629 alpha=90.00 beta=90.00 gamma=90.00
With the nearest neighbours (Å) after each atom.
Space group P-4m2 (No. 115)
Inequivalent atoms, fractional coordinates:
Li: 0.0000 0.5000 0.2451 (multiplicity 2)  2 Y 2.95, 4 Al 2.95-2.99, 2 La 2.99
La: 0.0000 0.0000 0.5000 (multiplicity 1)  4 Li 2.99, 4 Ag 3.02
Y: 0.5000 0.5000 0.0000 (multiplicity 1)  4 Ag 2.93, 4 Li 2.95
Al: 0.0000 0.0000 0.0000 (multiplicity 1)  4 Ag 2.93, 4 Li 2.95
Al: 0.5000 0.5000 0.5000 (multiplicity 1)  4 Li 2.99, 4 Ag 3.02
Ag: 0.0000 0.5000 0.7615 (multiplicity 2)  2 Y 2.93, 4 Al 2.93-3.02, 2 La 3.02

Magnetization in μB per formula unit: 0.0

***

(6)
The following is a DFT calculation (PBE) of LaLu2Al7Ag2 after structural relaxation.

Unit cell a=5.5577 b=5.5577 c=26.3197 alpha=90.00 beta=90.00 gamma=120.00
With the nearest neighbours (Å) after each atom.
Space group R-3m (No. 166, hexagonal axes)
Inequivalent atoms, fractional coordinates:
La: 0.0000 0.0000 0.0000 (multiplicity 3)  6 Ag 3.21, 12 Al 3.57
Lu: 0.0000 0.0000 0.1423 (multiplicity 6)  12 Al 3.16-3.27, 3 Lu 3.46
Al: 0.0000 0.0000 0.5000 (multiplicity 3)  6 Al 2.70
Al: 0.0083 0.5042 0.9146 (multiplicity 18)  5 Al 2.70-2.85, 2 Ag 2.74-2.79
Ag: 0.0000 0.0000 0.3357 (multiplicity 6)  6 Al 2.74-2.79

Magnetization in μB per formula unit: 0.0

***

The calculation returns the following uncorrected energy values, one per record and in order: -5.58 -2.80 -4.28 -4.00 -3.84 -4.28 eV/atom.